## MnAsBr2 (PBE-GGA)

Data for a relaxed structure of MnAsBr2.

Cell and atoms, written as POSCAR:
```
MnAsBr2
1.0
3.650 0.000 0.000
0.000 3.650 0.000
0.000 0.000 8.561
Br As Mn
2 1 1
Cartesian
1.825 1.825 2.707
0.000 0.000 7.976
1.825 1.825 5.064
0.000 0.000 5.656
```

Calculated values
crystal system = tetragonal
DOS(E_F) = 0.7 states/eV/cell
VASP energy = -4.52 eV/atom
formation energy from raw total energies = -0.23 eV per atom
SG = No. 99
energy above the lowest structure with this stoichiometry = 0.000 eV per atom

=====

## Li2LaZr (PBE-GGA)

Data for a relaxed structure of Li2LaZr.

Cell and atoms, written as POSCAR:
```
Li2LaZr
1.0
6.044 0.009 0.008
2.772 5.370 -0.008
-3.716 -3.824 2.845
Li Zr La
2 1 1
Cartesian
8.559 5.222 0.000
3.584 -0.431 1.427
4.507 2.750 0.000
1.675 2.083 1.419
```

Calculated values
crystal system = orthorhombic
formation energy from the elements = 1.08 eV/f.u.
DOS(E_F) = 3.8 states/eV/cell
VASP energy = -4.06 eV/atom
SG = No. 44
energy above the lowest structure with this stoichiometry = 0.115 eV per atom

=====

## HfSc4Sn (PBE-GGA)

Data for a relaxed structure of HfSc4Sn.

Cell and atoms, written as POSCAR:
```
HfSc4Sn
1.0
4.770 0.000 -0.001
0.000 4.771 -0.001
0.004 0.006 7.207
Sn Sc Hf
1 4 1
Cartesian
2.395 2.380 7.192
2.392 4.759 1.837
0.010 2.377 5.340
0.006 2.374 1.839
2.394 4.765 5.339
0.009 4.761 3.589
```

Calculated values
crystal system = tetragonal
formation energy from the elements = 1.77 eV/f.u.
DOS(E_F) = 8.7 states/eV/cell
VASP energy = -6.25 eV/atom
SG = No. 123

=====

## Al2V6Cr (PBE-GGA)

Data for a relaxed structure of Al2V6Cr.

Cell and atoms, written as POSCAR:
```
Al2V6Cr
1.0
-3.524 3.456 0.656
-4.077 -3.350 -1.841
-3.039 -3.277 3.356
V Al Cr
6 2 1
Cartesian
-5.121 -0.310 2.331
-5.018 -2.826 2.346
-3.639 1.023 0.713
-5.519 -2.861 -0.160
-7.001 -4.194 1.458
-5.622 -0.345 -0.175
-7.613 -1.525 1.543
-3.027 -1.646 0.628
0.000 0.000 0.000
```

Calculated values
crystal system = monoclinic
formation energy from the elements = 1.80 eV/f.u.
DOS(E_F) = 9.9 states/eV/cell
VASP energy = -7.78 eV/atom
SG = No. 12
energy above the lowest structure with this stoichiometry = 0.289 eV per atom